A geometry-optimized La2Hg structure. Source: the Alexandria database, functional PBEsol.

a b c (Å): 5.3320 6.8693 9.7473
angles (deg): 90.00 90.00 90.00
Last column: nearest neighbours and their distance in Å.
Element x y z (fractional)
La: 0.7500 0.9881 0.8077  3 Hg 3.29-3.31, 5 La 3.31-3.61
La: 0.7500 0.7913 0.4281  4 Hg 3.14-3.23, 3 La 3.31-3.49
La: 0.7500 0.2913 0.0719  4 Hg 3.14-3.23, 3 La 3.31-3.49
La: 0.2500 0.2087 0.5719  4 Hg 3.14-3.23, 3 La 3.31-3.49
La: 0.7500 0.4881 0.6923  3 Hg 3.29-3.31, 5 La 3.31-3.61
Hg: 0.7500 0.7593 0.1064  7 La 3.14-3.31
La: 0.2500 0.7087 0.9281  4 Hg 3.14-3.23, 3 La 3.31-3.49
La: 0.2500 0.0119 0.1923  3 Hg 3.29-3.31, 5 La 3.31-3.61
Hg: 0.2500 0.2407 0.8936  7 La 3.14-3.31
La: 0.2500 0.5119 0.3077  3 Hg 3.29-3.31, 5 La 3.31-3.61
Hg: 0.7500 0.2593 0.3936  7 La 3.14-3.31
Hg: 0.2500 0.7407 0.6064  7 La 3.14-3.31

Output
Energy relative to the elements   -37.8 kJ/mol of atoms
Space group   Pnma (62)